No. 1
Here is a relaxed AcPmNdEr2 crystal from the Alexandria database. Energies are from PBE.

Spin magnetization ... 0.000 μB/cell
ρ ... 7.61 g cm⁻³
Formation energy from the elements ... 356 meV/atom
SG ... Cmcm, No. 63
E ... -4.195 eV per atom

abc: 6.456 6.583 9.340
angles: 110.64 90.00 90.00
Fractional positions:
Ac 0.250 0.657 0.313
Ac 0.750 0.343 0.687
Pm 0.750 0.781 0.562
Pm 0.250 0.219 0.438
Nd 0.250 0.848 0.696
Nd 0.750 0.152 0.304
Er 0.500 0.243 0.000
Er 0.000 0.757 0.000
Er 0.500 0.757 0.000
Er 0.000 0.243 0.000

***

No. 2
Here is a relaxed Ca3ZnSi2Pd9 crystal from the Alexandria database. Energies are from PBE.

Raw formation energy ... -0.502 eV/atom
Spin magnetization ... 0.000 μB/cell
ρ ... 6.66 g cm⁻³
SG ... P-3m1, No. 164
E ... -4.826 eV per atom

abc: 6.994 6.994 7.064
angles: 90.00 90.00 120.00
Fractional positions:
Ca 0.333 0.667 0.677
Ca 0.000 0.000 0.000
Ca 0.667 0.333 0.323
Zn 0.000 0.000 0.500
Si 0.333 0.667 0.156
Si 0.667 0.333 0.844
Pd 0.820 0.180 0.654
Pd 0.820 0.640 0.654
Pd 0.360 0.180 0.654
Pd 0.640 0.820 0.346
Pd 0.180 0.360 0.346
Pd 0.180 0.820 0.346
Pd 0.500 0.000 0.000
Pd 0.000 0.500 0.000
Pd 0.500 0.500 0.000

***

No. 3
Here is a relaxed Cs4Tl3 crystal from the Alexandria database. Energies are from PBE.

Spin magnetization ... 0.000 μB/cell
ρ ... 4.10 g cm⁻³
Formation energy from the elements ... -56 meV/atom
SG ... Cm, No. 8
E ... -1.557 eV per atom

abc: 5.145 7.966 12.201
angles: 101.05 90.00 108.84
Fractional positions:
Cs 0.475 0.950 0.312
Cs 0.771 0.543 0.514
Cs 0.544 0.089 0.780
Cs 0.316 0.632 0.974
Tl 0.037 0.073 0.036
Tl 0.656 0.313 0.118
Tl 0.200 0.401 0.266

***

No. 4
Here is a relaxed SiMoCl2 crystal from the Alexandria database. Energies are from PBE.

Raw formation energy ... 0.057 eV/atom
Spin magnetization ... 0.001 μB/cell
ρ ... 4.23 g cm⁻³
Energy above the lowest structure with this stoichiometry ... 395 meV per atom
SG ... P4mm, No. 99
E ... -4.930 eV per atom

abc: 3.040 3.040 8.271
angles: 90.00 90.00 90.00
Fractional positions:
Cl 0.000 0.000 0.923
Cl 0.500 0.500 0.338
Mo 0.000 0.000 0.529
Si 0.500 0.500 0.710

***

No. 5
Here is a relaxed NdYErLu crystal from the Alexandria database. Energies are from PBE.

Spin magnetization ... 0.053 μB/cell
ρ ... 7.42 g cm⁻³
Formation energy from the elements ... 146 meV/atom
SG ... F-43m, No. 216
E ... -4.933 eV per atom

abc: 5.669 5.669 5.669
angles: 60.00 60.00 60.00
Fractional positions:
Y 0.750 0.750 0.750
Lu 0.000 0.000 0.000
Nd 0.250 0.250 0.250
Er 0.500 0.500 0.500

***

No. 6
Here is a relaxed Pu2ScO8 crystal from the Alexandria database. Energies are from PBE.

Raw formation energy ... -2.508 eV/atom
Spin magnetization ... 3.000 μB/cell
ρ ... 7.22 g cm⁻³
SG ... C2/m, No. 12
E ... -9.296 eV per atom

abc: 4.673 6.823 5.885
angles: 125.43 84.81 90.00
Fractional positions:
Pu 0.264 0.363 0.726
Pu 0.736 0.637 0.274
Sc 0.000 0.000 0.000
O 0.233 0.574 0.149
O 0.767 0.426 0.851
O 0.758 0.905 0.255
O 0.253 0.161 0.322
O 0.242 0.650 0.745
O 0.242 0.095 0.745
O 0.747 0.839 0.678
O 0.758 0.350 0.255

***

No. 7
Here is a relaxed K2InTe crystal from the Alexandria database. Energies are from PBE.

Raw formation energy ... -0.411 eV/atom
Spin magnetization ... 0.000 μB/cell
ρ ... 3.61 g cm⁻³
Energy above the lowest structure with this stoichiometry ... 140 meV per atom
SG ... I-4m2, No. 119
E ... -2.430 eV per atom

abc: 6.643 6.643 6.643
angles: 134.37 134.37 66.51
Fractional positions:
In 0.750 0.250 0.500
K 0.000 0.000 0.000
K 0.250 0.750 0.500
Te 0.500 0.500 0.000

***

No. 8
Here is a relaxed Er6Rh2O crystal from the Alexandria database. Energies are from PBE.

Raw formation energy ... -1.128 eV/atom
Spin magnetization ... 0.000 μB/cell
ρ ... 9.92 g cm⁻³
SG ... P2_1/c, No. 14
E ... -6.354 eV per atom

abc: 6.286 6.989 9.345
angles: 90.00 88.56 90.00
Fractional positions:
Er 0.122 0.035 0.256
Er 0.175 0.317 0.561
Er 0.184 0.325 0.941
Er 0.316 0.825 0.559
Er 0.325 0.817 0.939
Er 0.378 0.535 0.244
Er 0.878 0.965 0.744
Er 0.825 0.683 0.439
Er 0.816 0.675 0.059
Er 0.684 0.175 0.441
Er 0.675 0.183 0.061
Er 0.622 0.465 0.756
Rh 0.045 0.604 0.754
Rh 0.455 0.104 0.746
Rh 0.545 0.896 0.254
Rh 0.955 0.396 0.246
O 0.500 0.500 0.000
O 0.000 0.000 0.500

***

No. 9
Here is a relaxed KHg3Au2 crystal from the Alexandria database. Energies are from PBE.

Spin magnetization ... 0.000 μB/cell
ρ ... 9.84 g cm⁻³
Formation energy from the elements ... -52 meV/atom
Energy above the lowest structure with this stoichiometry ... 97 meV per atom
SG ... R-3m, No. 166
E ... -1.479 eV per atom

abc: 9.435 9.435 7.086
angles: 48.26 48.26 60.00
Fractional positions:
K 0.772 0.772 0.683
K 0.228 0.228 0.317
Hg 0.265 0.740 0.255
Hg 0.740 0.265 0.255
Hg 0.740 0.740 0.255
Hg 0.260 0.735 0.745
Hg 0.735 0.260 0.745
Hg 0.260 0.260 0.745
Au 0.000 0.000 0.000
Au 0.000 0.500 0.000
Au 0.500 0.500 0.000
Au 0.500 0.000 0.000

***

No. 10
Here is a relaxed ZnReRu crystal from the Alexandria database. Energies are from PBE.

Spin magnetization ... 0.000 μB/cell
ρ ... 13.72 g cm⁻³
Formation energy from the elements ... 15 meV/atom
Energy above the lowest structure with this stoichiometry ... 74 meV per atom
SG ... I4mm, No. 107
E ... -7.651 eV per atom

abc: 5.555 5.555 5.555
angles: 150.02 150.02 42.91
Fractional positions:
Re 0.995 0.995 0.000
Ru 0.336 0.336 0.000
Zn 0.669 0.669 0.000

***

No. 11
Here is a relaxed Pt2CI crystal from the Alexandria database. Energies are from PBE.

Raw formation energy ... 0.667 eV/atom
Spin magnetization ... 0.000 μB/cell
ρ ... 11.05 g cm⁻³
Energy above the lowest structure with this stoichiometry ... 0 meV per atom
SG ... I-42d, No. 122
E ... -5.047 eV per atom

abc: 5.265 5.265 6.840
angles: 67.36 67.36 90.00
Fractional positions:
I 0.000 0.000 0.000
I 0.750 0.250 0.500
C 0.500 0.500 0.000
C 0.250 0.750 0.500
Pt 0.492 0.125 0.250
Pt 0.258 0.625 0.250
Pt 0.375 0.508 0.750
Pt 0.875 0.742 0.750

***

No. 12
Here is a relaxed SrCd6Ag2 crystal from the Alexandria database. Energies are from PBE.

Spin magnetization ... 0.000 μB/cell
ρ ... 7.43 g cm⁻³
Formation energy from the elements ... -144 meV/atom
Energy above the lowest structure with this stoichiometry ... 0 meV per atom
SG ... P4/mmm, No. 123
E ... -1.575 eV per atom

abc: 4.466 4.466 10.953
angles: 90.00 90.00 90.00
Fractional positions:
Sr 0.000 0.000 0.000
Cd 0.000 0.500 0.288
Cd 0.500 0.000 0.288
Cd 0.000 0.500 0.712
Cd 0.500 0.000 0.712
Cd 0.500 0.500 0.500
Cd 0.000 0.000 0.500
Ag 0.500 0.500 0.125
Ag 0.500 0.500 0.875

***

Question: ρ of number 5 (NdYErLu)?
Answer: 7.42 g cm⁻³